Material: K2V3Br8
Method: DFT, PBE
State: optimized geometry

a = 7.9464 Å, b = 6.8805 Å, c = 8.8045 Å
α = 105.31°, β = 116.83°, γ = 90.00°
Positions (direct):
K1 0.7373 0.6691 0.4746
Br1 0.3281 0.3877 0.1904
Br2 0.8623 0.3877 0.1904
Br3 0.1377 0.6123 0.8096
V1 0.2529 0.0000 0.0000
Br4 0.6018 0.9446 0.2037
Br5 0.9060 0.1051 0.8120
V2 0.7471 0.0000 0.0000
K2 0.2627 0.3309 0.5254
Br6 0.6719 0.6123 0.8096
Br7 0.3982 0.0554 0.7963
V3 0.0000 0.5000 0.0000
Br8 0.0940 0.8949 0.1880

Properties
Its total magnetic moment is 0.69 μB/atom. As for the raw formation energy: -1072 meV/atom.

***

Material: K2VZnBr
Method: DFT, PBE
State: optimized geometry

a = 6.1337 Å, b = 6.2706 Å, c = 6.1337 Å
α = 90.00°, β = 90.00°, γ = 90.00°
Positions (direct):
Br1 0.0000 0.0000 0.0000
V1 0.5000 0.5000 0.5000
K1 0.0000 0.0000 0.5000
Zn1 0.0000 0.5000 0.0000
K2 0.5000 0.0000 0.0000

Properties
Its total magnetic moment is 0.80 μB/atom. As for the raw formation energy: 437 meV/atom.

***

Material: K2WBr
Method: DFT, PBE
State: optimized geometry

a = 9.8955 Å, b = 9.8955 Å, c = 9.8955 Å
α = 157.62°, β = 154.99°, γ = 33.81°
Positions (direct):
Br1 0.2039 0.7039 0.5000
K1 0.7868 0.2868 0.5000
K2 0.0647 0.0647 0.0000
W1 0.4446 0.4446 0.0000

Properties
Its total magnetic moment is 1.27 μB/atom. As for the raw formation energy: 744 meV/atom. As for the energy above the most stable polymorph in this dataset: 0.29 eV/f.u.

***

Material: KW3Br
Method: DFT, PBE
State: optimized geometry

a = 4.7641 Å, b = 4.7641 Å, c = 4.7641 Å
α = 90.00°, β = 90.00°, γ = 90.00°
Positions (direct):
Br1 0.0000 0.0000 0.0000
W1 0.5000 0.0000 0.0000
W2 0.0000 0.5000 0.0000
W3 0.0000 0.0000 0.5000
K1 0.5000 0.5000 0.5000

Properties
Its total magnetic moment is 0.00 μB/atom. As for the raw formation energy: 2475 meV/atom. As for the energy above the most stable polymorph in this dataset: 0.00 eV/f.u.

***

Material: K2WBr
Method: DFT, PBE
State: optimized geometry

a = 3.8254 Å, b = 3.8254 Å, c = 10.9126 Å
α = 90.00°, β = 90.00°, γ = 90.00°
Positions (direct):
W1 0.0000 0.0000 0.5323
Br1 0.5000 0.5000 0.7521
K1 0.5000 0.5000 0.3141
K2 0.0000 0.0000 0.9015

Properties
Its total magnetic moment is 1.15 μB/atom. As for the raw formation energy: 976 meV/atom. As for the energy above the most stable polymorph in this dataset: 1.22 eV/f.u.

***

Material: KWBr6
Method: DFT, PBE
State: optimized geometry

a = 7.2608 Å, b = 7.2608 Å, c = 7.8405 Å
α = 62.42°, β = 62.42°, γ = 60.00°
Positions (direct):
Br1 0.9102 0.3985 0.7811
Br2 0.6015 0.0898 0.2189
W1 0.0000 0.0000 0.0000
Br3 0.0898 0.0898 0.2189
Br4 0.3985 0.9102 0.7811
Br5 0.9102 0.9102 0.7811
K1 0.5000 0.5000 0.5000
Br6 0.0898 0.6015 0.2189

Properties
Its total magnetic moment is 0.13 μB/atom. As for the raw formation energy: -738 meV/atom. As for the energy above the most stable polymorph in this dataset: 0.17 eV/f.u.

***

Material: KWBr3
Method: DFT, PBE
State: optimized geometry

a = 3.5923 Å, b = 9.1516 Å, c = 9.1431 Å
α = 93.09°, β = 78.71°, γ = 101.36°
Positions (direct):
Br1 0.8256 0.7720 0.3645
Br2 0.1117 0.4120 0.4314
W1 0.5696 0.5149 0.6195
Br3 0.1113 0.7019 0.7241
K1 0.4799 0.0719 0.3571
K2 0.4761 0.7740 0.0645
Br4 0.8443 0.4339 0.9901
W2 0.3864 0.3310 0.8020
Br5 0.1306 0.0739 0.0571
Br6 0.8447 0.1440 0.6975

Properties
Its total magnetic moment is 0.00 μB/atom. As for the raw formation energy: -654 meV/atom. As for the energy above the most stable polymorph in this dataset: 0.00 eV/f.u.

***

Material: KWBr3
Method: DFT, PBE
State: optimized geometry

a = 5.8294 Å, b = 5.8294 Å, c = 5.8294 Å
α = 90.00°, β = 90.00°, γ = 90.00°
Positions (direct):
Br1 0.0000 0.0000 0.5000
Br2 0.5000 0.0000 0.0000
W1 0.5000 0.5000 0.5000
K1 0.0000 0.0000 0.0000
Br3 0.0000 0.5000 0.0000

Properties
Its total magnetic moment is 0.79 μB/atom. As for the raw formation energy: 991 meV/atom. As for the energy above the most stable polymorph in this dataset: 8.23 eV/f.u.

***

Material: K2WBr
Method: DFT, PBE
State: optimized geometry

a = 4.8855 Å, b = 4.9912 Å, c = 7.0902 Å
α = 90.00°, β = 90.00°, γ = 90.00°
Positions (direct):
W1 0.0000 0.0000 0.3755
Br1 0.5000 0.5000 0.8747
K1 0.5000 0.5000 0.3744
K2 0.0000 0.0000 0.8753

Properties
Its total magnetic moment is 1.26 μB/atom. As for the raw formation energy: 814 meV/atom. As for the energy above the most stable polymorph in this dataset: 0.57 eV/f.u.

***

Material: K2WBr
Method: DFT, PBE
State: optimized geometry

a = 5.9761 Å, b = 5.9761 Å, c = 5.9761 Å
α = 60.00°, β = 60.00°, γ = 60.00°
Positions (direct):
K1 0.7500 0.7500 0.7500
K2 0.2500 0.2500 0.2500
Br1 0.0000 0.0000 0.0000
W1 0.5000 0.5000 0.5000

Properties
Its total magnetic moment is 1.25 μB/atom. As for the raw formation energy: 847 meV/atom. As for the energy above the most stable polymorph in this dataset: 0.70 eV/f.u.

***

Material: K2WBr
Method: DFT, PBE
State: optimized geometry

a = 12.2899 Å, b = 12.2899 Å, c = 9.0213 Å
α = 47.07°, β = 47.07°, γ = 90.00°
Positions (direct):
W1 0.7500 0.2500 0.5000
K1 0.8750 0.7108 0.7500
K2 0.4608 0.1250 0.2500
K3 0.3750 0.5392 0.7500
Br1 0.5000 0.5000 0.0000
W2 0.0000 0.0000 0.0000
Br2 0.2500 0.7500 0.5000
K4 0.2892 0.6250 0.2500

Properties
Its total magnetic moment is 0.66 μB/atom. As for the raw formation energy: 978 meV/atom. As for the energy above the most stable polymorph in this dataset: 1.23 eV/f.u.

***

Material: KW3Br7
Method: DFT, PBE
State: optimized geometry

a = 14.0975 Å, b = 14.3876 Å, c = 14.3621 Å
α = 90.00°, β = 90.00°, γ = 90.00°
Positions (direct):
K1 0.7500 0.2500 0.2500
Br1 0.6929 0.1150 0.5491
W1 0.4704 0.6202 0.9574
Br2 0.4442 0.3079 0.8948
W2 0.1236 0.4608 0.5276
Br3 0.2039 0.4086 0.9325
Br4 0.6137 0.4540 0.1917
Br5 0.8863 0.0460 0.1917
Br6 0.3675 0.1259 0.3642
W3 0.0393 0.9660 0.1203
Br7 0.9442 0.8079 0.1052
Br8 0.5558 0.6921 0.1052
Br9 0.6325 0.8741 0.6358
Br10 0.5927 0.0823 0.7903
Br11 0.7039 0.9086 0.0675
W4 0.9704 0.3798 0.4574
Br12 0.0738 0.7102 0.9005
W5 0.9607 0.0340 0.8797
Br13 0.1929 0.8850 0.0491
Br14 0.9262 0.2102 0.4005
Br15 0.5738 0.2102 0.0995
K2 0.2500 0.7500 0.7500
W6 0.6236 0.5392 0.0276
Br16 0.8675 0.8741 0.8642
Br17 0.1929 0.6150 0.4509
Br18 0.8863 0.4540 0.3083
W7 0.0296 0.6202 0.5426
W8 0.4607 0.5340 0.1203
W9 0.8764 0.9608 0.0276
Br19 0.3863 0.9540 0.6917
Br20 0.2961 0.0914 0.9325
Br21 0.5738 0.2898 0.4005
W10 0.1236 0.0392 0.9724
Br22 0.7039 0.5914 0.4325
Br23 0.3863 0.5460 0.8083
Br24 0.0558 0.1921 0.8948
K3 0.2500 0.7500 0.2500
Br25 0.1137 0.5460 0.6917
W11 0.4607 0.9660 0.3797
Br26 0.1325 0.1259 0.1358
W12 0.4704 0.8798 0.5426
Br27 0.5927 0.4177 0.7097
K4 0.5000 0.5000 0.5000
Br28 0.0927 0.5823 0.2097
Br29 0.0927 0.9177 0.2903
W13 0.5296 0.3798 0.0426
Br30 0.3071 0.8850 0.4509
W14 0.9607 0.4660 0.6203
Br31 0.3675 0.3741 0.1358
Br32 0.9262 0.2898 0.0995
Br33 0.9073 0.4177 0.7903
W15 0.5393 0.4660 0.8797
Br34 0.7961 0.5914 0.0675
Br35 0.8071 0.1150 0.9509
W16 0.5296 0.1202 0.4574
K5 0.0000 0.5000 0.0000
Br36 0.4262 0.7102 0.5995
Br37 0.1325 0.3741 0.3642
Br38 0.7961 0.9086 0.4325
W17 0.9704 0.1202 0.0426
W18 0.3764 0.0392 0.5276
Br39 0.8071 0.3850 0.5491
K6 0.7500 0.2500 0.7500
Br40 0.9073 0.0823 0.7097
Br41 0.6325 0.6259 0.8642
W19 0.8764 0.5392 0.4724
Br42 0.2039 0.0914 0.5675
Br43 0.6929 0.3850 0.9509
W20 0.0393 0.5340 0.3797
Br44 0.2961 0.4086 0.5675
K7 0.0000 0.0000 0.5000
Br45 0.0558 0.3079 0.6052
Br46 0.1137 0.9540 0.8083
Br47 0.4073 0.5823 0.2903
Br48 0.6137 0.0460 0.3083
K8 0.5000 0.0000 0.0000
W21 0.5393 0.0340 0.6203
Br49 0.9442 0.6921 0.3948
W22 0.6236 0.9608 0.4724
Br50 0.4442 0.1921 0.6052
Br51 0.4262 0.7898 0.9005
Br52 0.5558 0.8079 0.3948
Br53 0.3071 0.6150 0.0491
W23 0.3764 0.4608 0.9724
W24 0.0296 0.8798 0.9574
Br54 0.8675 0.6259 0.6358
Br55 0.4073 0.9177 0.2097
Br56 0.0738 0.7898 0.5995

Properties
Its total magnetic moment is 0.00 μB/atom. As for the raw formation energy: -706 meV/atom.

***

Material: KWBr
Method: DFT, PBE
State: optimized geometry

a = 7.3489 Å, b = 7.3489 Å, c = 7.3489 Å
α = 155.18°, β = 155.18°, γ = 35.38°
Positions (direct):
K1 0.3358 0.3358 0.0000
Br1 0.0271 0.0271 0.0000
W1 0.6371 0.6371 0.0000

Properties
Its total magnetic moment is 0.00 μB/atom. As for the raw formation energy: 1006 meV/atom. As for the energy above the most stable polymorph in this dataset: 0.30 eV/f.u.

***

Material: K2WBr4
Method: DFT, PBE
State: optimized geometry

a = 5.5610 Å, b = 5.5610 Å, c = 8.9244 Å
α = 71.85°, β = 71.85°, γ = 90.00°
Positions (direct):
K1 0.6322 0.6322 0.7356
Br1 0.8367 0.8367 0.3266
K2 0.3678 0.3678 0.2644
Br2 0.5000 0.0000 0.0000
Br3 0.1633 0.1633 0.6734
Br4 0.0000 0.5000 0.0000
W1 0.0000 0.0000 0.0000

Properties
Its total magnetic moment is 0.57 μB/atom. As for the raw formation energy: -747 meV/atom.

***

Material: KWBr4
Method: DFT, PBE
State: optimized geometry

a = 5.4364 Å, b = 7.1699 Å, c = 11.4592 Å
α = 108.23°, β = 102.81°, γ = 90.00°
Positions (direct):
Br1 0.3929 0.6477 0.7869
Br2 0.6071 0.8608 0.2131
Br3 0.7679 0.2891 0.5783
Br4 0.0000 0.2740 0.0000
K1 0.1962 0.2117 0.4235
W1 0.6850 0.5405 0.0810
Br5 0.2321 0.7109 0.4217
Br6 0.3929 0.1392 0.7869
W2 0.3150 0.4595 0.9190
Br7 0.0000 0.7260 0.0000
K2 0.8038 0.7883 0.5765
Br8 0.6071 0.3523 0.2131

Properties
Its total magnetic moment is 0.00 μB/atom. As for the raw formation energy: -766 meV/atom. As for the energy above the most stable polymorph in this dataset: 0.00 eV/f.u.

***

Material: KW3Br
Method: DFT, PBE
State: optimized geometry

a = 4.7030 Å, b = 4.7030 Å, c = 4.7030 Å
α = 90.00°, β = 90.00°, γ = 90.00°
Positions (direct):
W1 0.0000 0.5000 0.0000
W2 0.0000 0.0000 0.5000
K1 0.0000 0.0000 0.0000
Br1 0.5000 0.5000 0.5000
W3 0.5000 0.0000 0.0000

Properties
Its total magnetic moment is 0.00 μB/atom. As for the raw formation energy: 4106 meV/atom. As for the energy above the most stable polymorph in this dataset: 8.16 eV/f.u.

***

Material: KWBr4
Method: DFT, PBE
State: optimized geometry

a = 6.4692 Å, b = 6.4692 Å, c = 6.4692 Å
α = 60.00°, β = 60.00°, γ = 60.00°
Positions (direct):
Br1 0.3740 0.3740 0.3740
Br2 0.3740 0.8781 0.3740
W1 0.0000 0.0000 0.0000
Br3 0.8781 0.3740 0.3740
K1 0.7500 0.7500 0.7500
Br4 0.3740 0.3740 0.8781

Properties
Its total magnetic moment is 0.60 μB/atom. As for the raw formation energy: 897 meV/atom. As for the energy above the most stable polymorph in this dataset: 9.98 eV/f.u.

***

Material: K2WBr
Method: DFT, PBE
State: optimized geometry

a = 6.7839 Å, b = 6.7839 Å, c = 5.8482 Å
α = 89.83°, β = 89.83°, γ = 33.94°
Positions (direct):
Br1 0.2734 0.2734 0.1242
K1 0.7482 0.7482 0.6237
W1 0.4812 0.4812 0.6262
K2 0.9971 0.9971 0.1258

Properties
Its total magnetic moment is 1.25 μB/atom. As for the raw formation energy: 792 meV/atom. As for the energy above the most stable polymorph in this dataset: 0.48 eV/f.u.

***

Material: KWBr5
Method: DFT, PBE
State: optimized geometry

a = 8.3897 Å, b = 8.3897 Å, c = 10.9101 Å
α = 80.44°, β = 119.11°, γ = 125.68°
Positions (direct):
Br1 0.2473 0.0933 0.8940
Br2 0.7527 0.9067 0.1060
W1 0.0000 0.0000 0.0000
Br3 0.3498 0.0998 0.2500
W2 0.5000 0.0000 0.5000
Br4 0.6502 0.9002 0.7500
Br5 0.1327 0.3575 0.0272
K1 0.7797 0.5297 0.2500
Br6 0.1696 0.8945 0.5272
Br7 0.8304 0.1055 0.4728
K2 0.2203 0.4703 0.7500
Br8 0.6993 0.3533 0.6060
Br9 0.8673 0.6425 0.9728
Br10 0.3007 0.6467 0.3940

Properties
Its total magnetic moment is 0.29 μB/atom. As for the raw formation energy: -732 meV/atom.

***

Material: KWBr6
Method: DFT, PBE
State: optimized geometry

a = 7.0981 Å, b = 7.0981 Å, c = 6.5790 Å
α = 102.22°, β = 102.22°, γ = 107.34°
Positions (direct):
W1 0.5000 0.5000 0.5000
K1 0.0000 0.0000 0.0000
Br1 0.2251 0.5357 0.2170
Br2 0.2284 0.2284 0.5782
Br3 0.7716 0.7716 0.4218
Br4 0.4643 0.7749 0.7830
Br5 0.5357 0.2251 0.2170
Br6 0.7749 0.4643 0.7830

Properties
Its total magnetic moment is 0.13 μB/atom. As for the raw formation energy: -759 meV/atom. As for the energy above the most stable polymorph in this dataset: 0.00 eV/f.u.